(1)
A relaxed structure of Li2DyPd7. Source: Alexandria via LeMat-Bulk, functional PBE-GGA.

Cell and atoms, written as POSCAR:
```
Li2DyPd7
1.0
4.3955 0.0000 0.0000
0.0000 6.7377 0.0619
0.0000 -2.9168 6.0740
Pd Li Dy
7 2 1
Direct
0.5000 0.6867 0.9366
0.0000 0.2545 0.7455
0.5000 0.9366 0.6867
0.5000 0.0634 0.3133
0.5000 0.3133 0.0634
0.5000 0.5000 0.5000
0.0000 0.7455 0.2545
0.5000 0.3001 0.6999
0.5000 0.6999 0.3001
0.0000 0.0000 0.0000
```

## Properties
Magnetic moment ... 0.0 μB/f.u.
VASP energy ... -4.514 eV per atom

(2)
A relaxed structure of TeAs5. Source: Alexandria via LeMat-Bulk, functional PBE-GGA.

Cell and atoms, written as POSCAR:
```
TeAs5
1.0
0.0000 4.0010 4.0010
4.0010 0.0000 4.0010
4.0010 4.0010 0.0000
As Te
5 1
Direct
0.6273 0.6273 0.6273
0.1182 0.6273 0.6273
0.6273 0.6273 0.1182
0.6273 0.1182 0.6273
0.2500 0.2500 0.2500
0.0000 0.0000 0.0000
```

## Properties
Magnetic moment ... 0.0 μB/f.u.
VASP energy ... -3.775 eV per atom

(3)
A relaxed structure of TiAuN2O. Source: Alexandria via LeMat-Bulk, functional PBE-GGA.

Cell and atoms, written as POSCAR:
```
TiAuN2O
1.0
-3.3895 -1.3829 -1.7740
-1.4762 -1.0531 3.6414
-1.5772 3.4179 0.3490
Au Ti N O
1 1 2 1
Direct
0.5000 0.5000 0.5000
0.0000 0.0000 0.0000
0.5000 0.0000 0.0000
0.0000 0.5000 0.0000
0.0000 0.0000 0.5000
```

## Properties
Magnetic moment ... 1.9 μB/f.u.
VASP energy ... -6.328 eV per atom

(4)
A relaxed structure of ReMo2Cl. Source: Alexandria via LeMat-Bulk, functional PBE-GGA.

Cell and atoms, written as POSCAR:
```
ReMo2Cl
1.0
-1.5786 -1.1540 -2.0213
2.7103 0.1643 -0.7328
1.4462 -8.1483 3.5224
Mo Re Cl
2 1 1
Direct
0.0000 0.0000 0.0008
0.5000 0.5000 0.2475
0.0000 0.0000 0.4763
0.5000 0.5000 0.7754
```

## Properties
Magnetic moment ... 0.0 μB/f.u.
VASP energy ... -8.524 eV per atom

(5)
A relaxed structure of NbCo2Cu. Source: Alexandria via LeMat-Bulk, functional PBE-GGA.

Cell and atoms, written as POSCAR:
```
NbCo2Cu
1.0
3.4033 0.0000 0.0000
0.0000 3.8355 0.0000
0.0000 0.0000 3.8355
Nb Cu Co
1 1 2
Direct
0.5000 0.5000 0.5000
0.5000 0.0000 0.0000
0.0000 0.0000 0.5000
0.0000 0.5000 0.0000
```

## Properties
Magnetic moment ... 0.0 μB/f.u.
VASP energy ... -7.169 eV per atom

(6)
A relaxed structure of Y2TiPt. Source: Alexandria via LeMat-Bulk, functional PBE-GGA.

Cell and atoms, written as POSCAR:
```
Y2TiPt
1.0
0.0000 3.5536 3.5536
3.5536 0.0000 3.5536
3.5536 3.5536 0.0000
Y Ti Pt
2 1 1
Direct
0.2500 0.2500 0.2500
0.7500 0.7500 0.7500
0.0000 0.0000 0.0000
0.5000 0.5000 0.5000
```

## Properties
Magnetic moment ... 3.0 μB/f.u.
VASP energy ... -7.072 eV per atom

(7)
A relaxed structure of Re2SiCl. Source: Alexandria via LeMat-Bulk, functional PBE-GGA.

Cell and atoms, written as POSCAR:
```
Re2SiCl
1.0
-6.9851 2.1372 4.0402
-7.4953 -0.6526 3.6162
-5.9341 0.1935 5.8679
Cl Re Si
1 2 1
Direct
0.7500 0.7500 0.7500
0.5041 0.5041 0.5041
0.9959 0.9959 0.9959
0.2500 0.2500 0.2500
```

## Properties
Magnetic moment ... 0.0 μB/f.u.
VASP energy ... -7.626 eV per atom

(8)
A relaxed structure of Li2Bi2AsO6. Source: Alexandria via LeMat-Bulk, functional PBE-GGA.

Cell and atoms, written as POSCAR:
```
Li2Bi2AsO6
1.0
-3.8029 -1.6838 4.0112
1.7659 -1.0259 5.4052
-1.5224 3.7715 4.3016
O Li As Bi
6 2 1 2
Direct
0.2277 0.7864 0.7583
0.7864 0.2277 0.7583
0.2277 0.2277 0.7583
0.7723 0.7723 0.2417
0.2136 0.7723 0.2417
0.7723 0.2136 0.2417
0.4066 0.4066 0.7803
0.5934 0.5934 0.2197
0.0000 0.0000 0.0000
0.7962 0.7962 0.6114
0.2038 0.2038 0.3886
```

## Properties
Magnetic moment ... 0.0 μB/f.u.
VASP energy ... -5.389 eV per atom

(9)
A relaxed structure of NdZn2In. Source: Alexandria via LeMat-Bulk, functional PBE-GGA.

Cell and atoms, written as POSCAR:
```
NdZn2In
1.0
4.4898 0.0000 0.0000
0.0000 4.7111 -2.6972
0.0000 -0.4479 4.6808
Zn In Nd
2 1 1
Direct
0.5000 0.2233 0.4467
0.0000 0.0949 0.1899
0.0000 0.4673 0.9346
0.5000 0.8175 0.6349
```

## Properties
Magnetic moment ... 0.0 μB/f.u.
VASP energy ... -2.674 eV per atom

(10)
A relaxed structure of Rb2Ag5Te4. Source: Alexandria via LeMat-Bulk, functional PBE-GGA.

Cell and atoms, written as POSCAR:
```
Rb2Ag5Te4
1.0
6.1526 0.0000 0.0000
3.0763 7.2438 0.0000
3.0763 0.0000 7.8765
Rb Te Ag
2 4 5
Direct
0.1581 0.0000 0.6837
0.8419 0.0000 0.3163
0.7715 0.7085 0.7485
0.2285 0.2915 0.2515
0.5200 0.7085 0.2515
0.4800 0.2915 0.7485
0.0000 0.5000 0.0000
0.2500 0.5000 0.5000
0.7500 0.5000 0.5000
0.5000 0.5000 0.0000
0.5000 0.0000 0.0000
```

## Properties
Magnetic moment ... 0.0 μB/f.u.
VASP energy ... -2.905 eV per atom

(11)
A relaxed structure of SbOsPt. Source: Alexandria via LeMat-Bulk, functional PBE-GGA.

Cell and atoms, written as POSCAR:
```
SbOsPt
1.0
-0.0417 3.9098 1.9725
-1.8686 0.4473 3.9354
2.4857 0.6942 3.5381
Pt Sb Os
1 1 1
Direct
0.0000 0.0000 0.0000
0.5000 0.5000 0.5000
0.2500 0.2500 0.2500
```

## Properties
Magnetic moment ... 0.0 μB/f.u.
VASP energy ... -6.899 eV per atom

(12)
A relaxed structure of TaCdOs2C. Source: Alexandria via LeMat-Bulk, functional PBE-GGA.

Cell and atoms, written as POSCAR:
```
TaCdOs2C
1.0
-2.9125 1.1758 2.7220
1.0861 -3.2159 2.5512
2.7680 2.4461 1.9050
Cd C Os Ta
1 1 2 1
Direct
0.5000 0.5000 0.5000
0.0000 0.0000 0.0000
0.5000 0.0000 0.0000
0.0000 0.0000 0.5000
0.0000 0.5000 0.0000
```

## Properties
Magnetic moment ... 0.0 μB/f.u.
VASP energy ... -8.540 eV per atom

Number 1 is which compound?
Li2DyPd7

Which value of VASP energy does entry 8 give?
-5.389 eV per atom